Entry 1:
InTc2As: relaxed, GGA-PBE.

raw total energy: -6.75 eV/atom
ΔE_f: 0.279 eV per atom
spin magnetization: 0.00 Bohr magnetons per cell
offset from the most stable computed form: 245.5 meV/atom
DOS at the Fermi energy: 3.0 states/eV/cell
space group: Immm

Cell and atoms, written as POSCAR:
```
InTc2As
1.0
-1.5442 2.5315 4.2987
1.5442 -2.5315 4.2987
1.5442 2.5315 -4.2987
In Tc As
1 2 1
Direct
0.0000 0.0000 0.0000 In
0.2797 0.7797 0.5000 Tc
0.7203 0.2203 0.5000 Tc
0.5000 0.5000 0.0000 As
```

---

Entry 2:
AcZn2AgPd: relaxed, GGA-PBE.

raw total energy: -3.36 eV/atom
ΔE_f: -0.423 eV per atom
spin magnetization: 0.00 Bohr magnetons per cell
DOS at the Fermi energy: 2.6 states/eV/cell
space group: Imm2

Cell and atoms, written as POSCAR:
```
AcZn2AgPd
1.0
-2.1466 2.1926 5.7294
2.1466 -2.1926 5.7294
2.1466 2.1926 -5.7294
Ac Zn Ag Pd
1 2 1 1
Direct
0.0000 0.0000 0.0000 Ac
0.3763 0.3763 0.0000 Zn
0.7440 0.2440 0.5000 Zn
0.2470 0.7470 0.5000 Ag
0.5983 0.5983 0.0000 Pd
```

---

Entry 3:
In2FeTc: relaxed, GGA-PBE.

raw total energy: -5.71 eV/atom
ΔE_f: 0.365 eV per atom
spin magnetization: 4.09 Bohr magnetons per cell
offset from the most stable computed form: 141.0 meV/atom
DOS at the Fermi energy: 3.1 states/eV/cell
space group: I-4m2

Cell and atoms, written as POSCAR:
```
In2FeTc
1.0
-1.9921 1.9921 4.3994
1.9921 -1.9921 4.3994
1.9921 1.9921 -4.3994
In Fe Tc
2 1 1
Direct
0.0000 0.0000 0.0000 In
0.7500 0.2500 0.5000 In
0.5000 0.5000 0.0000 Fe
0.2500 0.7500 0.5000 Tc
```

---

Entry 4:
Tb2Y4Er2Th: relaxed, GGA-PBE.

raw total energy: -5.74 eV/atom
ΔE_f: 0.004 eV per atom
spin magnetization: 0.00 Bohr magnetons per cell
DOS at the Fermi energy: 13.1 states/eV/cell
space group: C2/m

Cell and atoms, written as POSCAR:
```
Tb2Y4Er2Th
1.0
9.3103 -1.7964 0.0000
9.3103 1.7964 0.0000
-4.1280 0.0000 8.5950
Tb Y Er Th
2 4 2 1
Direct
0.1485 0.1485 0.1677 Tb
0.8515 0.8515 0.8323 Tb
0.1846 0.1846 0.8324 Y
0.4818 0.4818 0.1703 Y
0.5182 0.5182 0.8297 Y
0.8154 0.8154 0.1676 Y
0.3347 0.3347 0.4979 Er
0.6653 0.6653 0.5021 Er
0.0000 0.0000 0.5000 Th
```

---

Entry 5:
Nd5Er3Tm: relaxed, GGA-PBE.

raw total energy: -4.39 eV/atom
ΔE_f: 0.272 eV per atom
spin magnetization: 0.00 Bohr magnetons per cell
offset from the most stable computed form: 0.0 meV/atom
DOS at the Fermi energy: 27.0 states/eV/cell
space group: C2/c

Cell and atoms, written as POSCAR:
```
Nd5Er3Tm
1.0
9.4204 -3.2257 0.0000
9.4204 3.2257 0.0000
-5.1821 0.0000 10.3482
Nd Er Tm
10 6 2
Direct
0.0272 0.6493 0.2905 Nd
0.1050 0.8950 0.7500 Nd
0.1511 0.4996 0.6435 Nd
0.3507 0.9728 0.2095 Nd
0.4996 0.1511 0.1435 Nd
0.5004 0.8489 0.8565 Nd
0.6493 0.0272 0.7905 Nd
0.8489 0.5004 0.3565 Nd
0.8950 0.1050 0.2500 Nd
0.9728 0.3507 0.7095 Nd
0.0509 0.6281 0.9873 Er
0.3719 0.9491 0.5127 Er
0.5000 0.5000 0.0000 Er
0.5000 0.5000 0.5000 Er
0.6281 0.0509 0.4873 Er
0.9491 0.3719 0.0127 Er
0.3768 0.6232 0.2500 Tm
0.6232 0.3768 0.7500 Tm
```

---

Entry 6:
HfH6Cl12: relaxed, GGA-PBE.

raw total energy: -3.45 eV/atom
spin magnetization: 2.20 Bohr magnetons per cell
DOS at the Fermi energy: 10.9 states/eV/cell
space group: P-1

Cell and atoms, written as POSCAR:
```
HfH6Cl12
1.0
7.9512 0.0000 0.0000
-0.9921 8.2752 0.0000
-2.5492 -4.3442 8.0268
Hf H Cl
1 6 12
Direct
0.0000 0.0000 0.0000 Hf
0.0933 0.3744 0.8765 H
0.1719 0.1659 0.4795 H
0.3058 0.4617 0.3319 H
0.6942 0.5383 0.6681 H
0.8281 0.8341 0.5205 H
0.9067 0.6256 0.1235 H
0.0337 0.8308 0.7315 Cl
0.1220 0.7938 0.1099 Cl
0.2172 0.4881 0.8685 Cl
0.2817 0.1481 0.5997 Cl
0.2932 0.6105 0.4482 Cl
0.3048 0.1947 0.1093 Cl
0.6952 0.8053 0.8907 Cl
0.7068 0.3895 0.5518 Cl
0.7183 0.8519 0.4003 Cl
0.7828 0.5119 0.1315 Cl
0.8780 0.2062 0.8901 Cl
0.9663 0.1692 0.2685 Cl
```